1.
DFT (GGA-PBE) results for a relaxed Pm2Ni4SnAs3 crystal.

Results
Crystal system: tetragonal
Final energy in eV per atom: -5.798

abc: 4.162 4.162 10.063
angles: 90.00 90.00 90.00
Fractional positions:
Pm: 0.000 0.500 0.232
Pm: 0.500 0.000 0.768
Ni: 0.000 0.000 0.000
Ni: 0.000 0.500 0.641
Ni: 0.500 0.000 0.359
Ni: 0.500 0.500 0.000
Sn: 0.000 0.000 0.500
As: 0.000 0.500 0.874
As: 0.500 0.000 0.126
As: 0.500 0.500 0.500

=====

2.
DFT (GGA-PBE) results for a relaxed PmNiSnAs crystal.

Results
Crystal system: cubic
Final energy in eV per atom: -5.086

abc: 6.986 6.986 6.986
angles: 90.00 90.00 90.00
Fractional positions:
Pm: 0.000 0.000 0.000
Pm: 0.000 0.500 0.500
Pm: 0.500 0.000 0.500
Pm: 0.500 0.500 0.000
Ni: 0.250 0.250 0.250
Ni: 0.250 0.750 0.750
Ni: 0.750 0.250 0.750
Ni: 0.750 0.750 0.250
Sn: 0.000 0.000 0.500
Sn: 0.000 0.500 0.000
Sn: 0.500 0.000 0.000
Sn: 0.500 0.500 0.500
As: 0.250 0.250 0.750
As: 0.250 0.750 0.250
As: 0.750 0.250 0.250
As: 0.750 0.750 0.750

=====

3.
DFT (GGA-PBE) results for a relaxed Pm8NiTe4As3 crystal.

Results
Crystal system: trigonal
ΔE_f (raw) in eV/atom: -1.338

abc: 8.774 8.774 8.774
angles: 58.71 58.71 58.71
Fractional positions:
Pm: 0.240 0.240 0.240
Pm: 0.248 0.735 0.735
Pm: 0.265 0.265 0.752
Pm: 0.265 0.752 0.265
Pm: 0.735 0.248 0.735
Pm: 0.735 0.735 0.248
Pm: 0.752 0.265 0.265
Pm: 0.760 0.760 0.760
Ni: 0.500 0.500 0.500
Te: 0.000 0.000 0.000
Te: 0.000 0.500 0.500
Te: 0.500 0.000 0.500
Te: 0.500 0.500 0.000
As: 0.000 0.000 0.500
As: 0.000 0.500 0.000
As: 0.500 0.000 0.000

=====

4.
DFT (GGA-PBE) results for a relaxed Pm2TiNi3As4 crystal.

Results
Crystal system: tetragonal
Final energy in eV per atom: -6.166

abc: 4.199 4.199 9.978
angles: 90.00 90.00 90.00
Fractional positions:
Pm: 0.000 0.500 0.232
Pm: 0.500 0.000 0.768
Ti: 0.000 0.000 0.500
Ni: 0.000 0.500 0.885
Ni: 0.500 0.000 0.115
Ni: 0.500 0.500 0.500
As: 0.000 0.000 0.000
As: 0.000 0.500 0.644
As: 0.500 0.000 0.356
As: 0.500 0.500 0.000

=====

5.
DFT (GGA-PBE) results for a relaxed Pm2TmNi3As4 crystal.

Results
Crystal system: tetragonal
Final energy in eV per atom: -5.838

abc: 4.266 4.266 10.414
angles: 90.00 90.00 90.00
Fractional positions:
Pm: 0.000 0.500 0.218
Pm: 0.500 0.000 0.782
Tm: 0.000 0.000 0.500
Ni: 0.000 0.500 0.894
Ni: 0.500 0.000 0.106
Ni: 0.500 0.500 0.500
As: 0.000 0.000 0.000
As: 0.000 0.500 0.665
As: 0.500 0.000 0.335
As: 0.500 0.500 0.000

=====

6.
DFT (GGA-PBE) results for a relaxed PmTmNi2As2 crystal.

Results
Crystal system: trigonal
Final energy in eV per atom: -6.055

abc: 4.072 4.072 7.790
angles: 90.00 90.00 120.00
Fractional positions:
Pm: 0.000 0.000 0.000
Tm: 0.000 0.000 0.500
Ni: 0.333 0.667 0.738
Ni: 0.667 0.333 0.262
As: 0.333 0.667 0.259
As: 0.667 0.333 0.741